VASP calculation (GGA-PBE) on an optimized crystal structure of Tb3Pm2DyHo6.

symmetry = No. 12
energy of formation from the pure elements = 0.190 eV/f.u.
electronic total energy = -4.61 eV per atom

POSCAR file:
```
Tb3Pm2DyHo6
1.0
3.081 -5.331 0.000
3.081 5.331 0.000
-2.043 0.000 11.581
Tb Pm Dy Ho
3 2 1 6
Cartesian
0.000 0.000 0.000 Tb
3.081 1.776 0.000 Tb
3.081 -1.776 0.000 Tb
2.059 3.555 5.791 Pm
2.059 -3.555 5.791 Pm
2.059 0.000 5.791 Dy
1.028 1.775 2.879 Ho
0.015 0.000 8.704 Ho
1.028 -1.775 2.879 Ho
3.091 1.775 8.702 Ho
4.103 0.000 2.877 Ho
3.091 -1.775 8.702 Ho
```